No. 1
Below is a crystal of Sr2YGaCu2O7 relaxed with PBEsol, with properties calculated at the SCAN level.

extended XYZ file:
```
26
Lattice="-3.601 3.482 1.832 -3.620 -1.850 -3.600 0.006 -8.538 8.478" Properties=species:S:1:pos:R:3 pbc="T T T"
O -5.382 -2.474 3.508
O -2.584 -3.706 3.583
O -2.277 -0.576 0.529
O -3.151 -8.059 5.271
O -4.959 -6.322 6.179
O -4.077 -3.111 6.037
O -4.385 -5.930 3.024
O -3.002 -0.809 3.773
O -4.064 -1.482 -1.314
O -5.848 0.267 -0.381
O -3.311 -3.628 0.760
O -3.157 -5.444 8.001
O -1.339 -7.176 7.102
O -4.069 1.169 1.452
Cu -4.896 -7.534 4.705
Cu -4.891 -4.870 7.416
Cu -2.323 0.631 2.007
Cu -2.328 -2.033 -0.704
Sr -6.178 -4.616 4.368
Sr -1.025 -2.302 2.335
Sr -4.743 -1.541 1.344
Sr -2.461 -5.377 5.359
Ga -3.704 -2.392 4.388
Ga -3.213 -4.802 2.170
Y -3.611 0.816 -0.884
Y 0.000 0.000 0.000
```

No. 2
Below is a crystal of ScPtW3 relaxed with PBEsol, with properties calculated at the SCAN level.

extended XYZ file:
```
5
Lattice="-2.602 -2.299 -2.823 1.363 -3.833 1.865 -3.376 0.224 2.928" Properties=species:S:1:pos:R:3 pbc="T T T"
W 0.681 -1.916 0.932
W -1.301 -1.149 -1.412
W -1.688 0.112 1.464
Sc 0.000 0.000 0.000
Pt -2.308 -2.953 0.985
```

Values from the calculation:
Formation energy from the elements   2590 meV/atom

No. 3
Below is a crystal of MnTcIr2 relaxed with PBEsol, with properties calculated at the SCAN level.

extended XYZ file:
```
4
Lattice="2.673 0.000 0.000 0.000 4.604 0.003 0.000 -1.514 4.348" Properties=species:S:1:pos:R:3 pbc="T T T"
Tc 1.336 1.545 2.175
Mn 1.336 0.000 0.000
Ir 0.000 -0.757 2.174
Ir 0.000 2.302 0.001
```

Values from the calculation:
Energy above the lowest structure with this stoichiometry   23 meV/atom
Formation energy from the elements   -338 meV/atom

No. 4
Below is a crystal of NdMnSi relaxed with PBEsol, with properties calculated at the SCAN level.

extended XYZ file:
```
6
Lattice="3.946 0.000 0.000 0.000 3.946 0.000 0.000 0.000 7.278" Properties=species:S:1:pos:R:3 pbc="T T T"
Nd 1.973 0.000 6.030
Nd 0.000 1.973 1.248
Mn 0.000 0.000 3.639
Mn 1.973 1.973 3.639
Si 0.000 1.973 4.985
Si 1.973 0.000 2.293
```

No. 5
Below is a crystal of Sc2V2O7 relaxed with PBEsol, with properties calculated at the SCAN level.

extended XYZ file:
```
22
Lattice="6.826 0.000 0.000 3.413 5.911 0.000 3.413 1.970 5.573" Properties=species:S:1:pos:R:3 pbc="T T T"
O 6.826 3.941 2.787
O 4.857 2.804 4.394
O 3.413 3.637 2.572
O 6.826 6.214 4.394
O 10.238 5.911 4.180
O 3.413 0.303 0.214
O 6.826 1.667 1.179
O 1.969 2.804 0.214
O 4.857 2.804 0.214
O 8.795 5.078 1.179
O 8.795 2.804 4.394
O 1.969 1.137 2.572
O 4.857 1.137 2.572
O 4.857 5.078 1.179
V 3.413 3.941 0.697
V 3.413 1.970 3.483
V 1.706 0.985 0.697
V 5.119 0.985 0.697
Sc 8.532 4.926 3.483
Sc 6.826 3.941 0.697
Sc 6.826 1.970 3.483
Sc 5.119 4.926 3.483
```

Values from the calculation:
Energy above the lowest structure with this stoichiometry   55 meV/atom

No. 6
Below is a crystal of TePSeS2 relaxed with PBEsol, with properties calculated at the SCAN level.

extended XYZ file:
```
5
Lattice="-4.402 0.526 1.406 -0.637 -4.599 -0.273 1.426 -0.473 4.641" Properties=species:S:1:pos:R:3 pbc="T T T"
Se 0.000 0.000 0.000
S -0.319 -2.299 -0.137
S -2.201 0.263 0.703
Te -1.807 -2.273 2.887
P 0.713 -0.237 2.321
```

No. 7
Below is a crystal of Zr2PW relaxed with PBEsol, with properties calculated at the SCAN level.

extended XYZ file:
```
4
Lattice="3.007 0.012 0.000 -1.013 2.831 0.000 0.000 0.000 8.368" Properties=species:S:1:pos:R:3 pbc="T T T"
Zr 0.000 0.000 0.170
Zr 0.997 1.421 5.926
P 0.000 0.000 4.073
W 0.997 1.421 2.382
```

Values from the calculation:
Formation energy from the elements   -106 meV/atom

No. 8
Below is a crystal of BaMnI2 relaxed with PBEsol, with properties calculated at the SCAN level.

extended XYZ file:
```
4
Lattice="-3.088 -3.116 -3.709 2.397 -4.480 -2.681 -1.587 -5.350 1.366" Properties=species:S:1:pos:R:3 pbc="T T T"
I -1.708 -9.709 -3.768
I -0.569 -3.236 -1.256
Ba -1.139 -6.472 -2.512
Mn 0.000 0.000 0.000
```

Number 1: D(E_F) 0.116 states/eV per atom, E -14.899 eV per atom. Number 2: D(E_F) 1.007 states/eV per atom, E -56.109 eV per atom. Number 3: D(E_F) 0.609 states/eV per atom, E -49.216 eV per atom. Number 4: D(E_F) 0.685 states/eV per atom, E -24.533 eV per atom. Number 5: D(E_F) 0.316 states/eV per atom, E -12.895 eV per atom. Number 6: D(E_F) 0.746 states/eV per atom, E -16.544 eV per atom. Number 7: D(E_F) 0.951 states/eV per atom, E -35.477 eV per atom. Number 8: D(E_F) 0.630 states/eV per atom, E -33.561 eV per atom.